Crystalline ScTi2Sb2 at its relaxed geometry, computed with GGA-PBE.

Values from the calculation:
For the total magnetic moment, the calculation gives 0.00 μB per formula unit. The calculation puts the uncorrected energy at -0.229 hartree per atom. As for the calculated density: 5.7 g/cm3. The space group is I4/mmm. As for the raw formation energy: -3.58 kcal/mol of atoms.

Lattice parameters (Å, degrees): 5.2783 5.2783 5.4773 61.19 61.19 90.00
Closest atoms and distances in Å follow each position.
Sites, in units of the cell vectors:
Sc1 0.0000 0.0000 0.0000  2 Ti 2.81
Sb1 0.7500 0.2500 0.5000  4 Ti 2.76
Sb2 0.2500 0.7500 0.5000  4 Ti 2.76
Ti1 0.3509 0.3509 0.2981  1 Ti 2.39
Ti2 0.6491 0.6491 0.7019  1 Ti 2.39